(1)
# DyHo3In | Alexandria via LeMat-Bulk | PBE | relaxed
data_DyHo3In
_symmetry_space_group_name_H-M 'P 1'
_symmetry_Int_Tables_number 1
_cell_length_a 5.179
_cell_length_b 6.850
_cell_length_c 8.682
_cell_angle_alpha 89.75
_cell_angle_beta 107.35
_cell_angle_gamma 90.00
loop_
_symmetry_equiv_pos_as_xyz
'x,y,z'
loop_
_atom_site_label
_atom_site_type_symbol
_atom_site_fract_x
_atom_site_fract_y
_atom_site_fract_z
_atom_site_occupancy
In1 In 0.803 0.751 0.605 1
Ho1 Ho 0.796 0.250 0.593 1
Ho2 Ho 0.996 0.750 0.991 1
Ho3 Ho 0.390 0.003 0.780 1
Ho4 Ho 0.004 0.250 0.009 1
Dy1 Dy 0.391 0.495 0.781 1
Ho5 Ho 0.204 0.750 0.407 1
Ho6 Ho 0.610 0.997 0.220 1
Dy2 Dy 0.609 0.505 0.219 1
In2 In 0.197 0.249 0.395 1
# - energy of formation from the pure elements (kJ/mol of atoms) = -17.82
# - spin magnetization (Bohr magnetons per cell) = 0.001
# - space-group type = No. 12

=====

(2)
# Dy4Ho4In | Alexandria via LeMat-Bulk | PBE | relaxed
data_Dy4Ho4In
_symmetry_space_group_name_H-M 'P 1'
_symmetry_Int_Tables_number 1
_cell_length_a 4.875
_cell_length_b 7.848
_cell_length_c 7.848
_cell_angle_alpha 84.47
_cell_angle_beta 71.91
_cell_angle_gamma 71.91
loop_
_symmetry_equiv_pos_as_xyz
'x,y,z'
loop_
_atom_site_label
_atom_site_type_symbol
_atom_site_fract_x
_atom_site_fract_y
_atom_site_fract_z
_atom_site_occupancy
Ho1 Ho 0.662 0.000 0.677 1
In1 In 0.000 0.000 0.000 1
Ho2 Ho 0.338 0.000 0.323 1
Dy1 Dy 0.000 0.665 0.335 1
Ho3 Ho 0.662 0.677 0.000 1
Dy2 Dy 0.000 0.335 0.665 1
Dy3 Dy 0.665 0.335 0.335 1
Ho4 Ho 0.338 0.323 0.000 1
Dy4 Dy 0.335 0.665 0.665 1
# - energy of formation from the pure elements (kJ/mol of atoms) = -7.27
# - spin magnetization (Bohr magnetons per cell) = 0.000
# - space-group type = No. 139

=====

(3)
# Dy4Ho5In | Alexandria via LeMat-Bulk | PBE | relaxed
data_Dy4Ho5In
_symmetry_space_group_name_H-M 'P 1'
_symmetry_Int_Tables_number 1
_cell_length_a 5.765
_cell_length_b 7.997
_cell_length_c 7.997
_cell_angle_alpha 82.53
_cell_angle_beta 68.87
_cell_angle_gamma 68.87
loop_
_symmetry_equiv_pos_as_xyz
'x,y,z'
loop_
_atom_site_label
_atom_site_type_symbol
_atom_site_fract_x
_atom_site_fract_y
_atom_site_fract_z
_atom_site_occupancy
Dy1 Dy 0.143 0.315 0.315 1
Dy2 Dy 0.773 0.685 0.685 1
Ho1 Ho 0.141 0.000 0.629 1
Ho2 Ho 0.141 0.629 0.000 1
Ho3 Ho 0.770 0.000 0.371 1
Dy3 Dy 0.458 0.685 0.315 1
In1 In 0.187 0.000 0.000 1
Ho4 Ho 0.669 0.000 0.000 1
Dy4 Dy 0.458 0.315 0.685 1
Ho5 Ho 0.770 0.371 0.000 1
# - energy of formation from the pure elements (kJ/mol of atoms) = 11.70
# - spin magnetization (Bohr magnetons per cell) = 0.000
# - space-group type = No. 107
# - ΔE to the lowest computed polymorph (meV per atom) = 202

=====

(4)
# Dy2Ho6In | Alexandria via LeMat-Bulk | PBE | relaxed
data_Dy2Ho6In
_symmetry_space_group_name_H-M 'P 1'
_symmetry_Int_Tables_number 1
_cell_length_a 6.160
_cell_length_b 11.681
_cell_length_c 10.863
_cell_angle_alpha 46.38
_cell_angle_beta 106.48
_cell_angle_gamma 105.29
loop_
_symmetry_equiv_pos_as_xyz
'x,y,z'
loop_
_atom_site_label
_atom_site_type_symbol
_atom_site_fract_x
_atom_site_fract_y
_atom_site_fract_z
_atom_site_occupancy
Ho1 Ho 0.827 0.917 0.408 1
Ho2 Ho 0.042 0.471 0.313 1
Dy1 Dy 0.392 0.805 0.641 1
Ho3 Ho 0.258 0.029 0.187 1
Ho4 Ho 0.276 0.864 0.029 1
Dy2 Dy 0.608 0.195 0.359 1
Ho5 Ho 0.958 0.529 0.687 1
In1 In 0.834 0.750 0.250 1
In2 In 0.166 0.250 0.750 1
Dy3 Dy 0.054 0.305 0.141 1
Dy4 Dy 0.946 0.695 0.859 1
Ho6 Ho 0.173 0.083 0.592 1
Ho7 Ho 0.724 0.136 0.971 1
Ho8 Ho 0.498 0.417 0.908 1
Ho9 Ho 0.502 0.583 0.092 1
Ho10 Ho 0.742 0.971 0.813 1
Ho11 Ho 0.617 0.364 0.529 1
Ho12 Ho 0.383 0.636 0.471 1
# - energy of formation from the pure elements (kJ/mol of atoms) = -9.46
# - spin magnetization (Bohr magnetons per cell) = 0.000
# - space-group type = No. 15
# - ΔE to the lowest computed polymorph (meV per atom) = 0

=====

(5)
# Dy2HoIn2 | Alexandria via LeMat-Bulk | PBE | relaxed
data_Dy2HoIn2
_symmetry_space_group_name_H-M 'P 1'
_symmetry_Int_Tables_number 1
_cell_length_a 3.733
_cell_length_b 5.330
_cell_length_c 13.982
_cell_angle_alpha 90.00
_cell_angle_beta 97.69
_cell_angle_gamma 90.00
loop_
_symmetry_equiv_pos_as_xyz
'x,y,z'
loop_
_atom_site_label
_atom_site_type_symbol
_atom_site_fract_x
_atom_site_fract_y
_atom_site_fract_z
_atom_site_occupancy
In1 In 0.449 0.750 0.899 1
Dy1 Dy 0.237 0.750 0.474 1
Ho1 Ho 0.851 0.750 0.701 1
Dy2 Dy 0.047 0.750 0.095 1
Ho2 Ho 0.149 0.250 0.299 1
Dy3 Dy 0.763 0.250 0.526 1
In2 In 0.358 0.250 0.714 1
Dy4 Dy 0.953 0.250 0.905 1
In3 In 0.642 0.750 0.286 1
In4 In 0.551 0.250 0.101 1
# - energy of formation from the pure elements (kJ/mol of atoms) = -36.51
# - spin magnetization (Bohr magnetons per cell) = 0.000
# - space-group type = No. 11
# - ΔE to the lowest computed polymorph (meV per atom) = 0

=====

(6)
# Dy5Ho3In2 | Alexandria via LeMat-Bulk | PBE | relaxed
data_Dy5Ho3In2
_symmetry_space_group_name_H-M 'P 1'
_symmetry_Int_Tables_number 1
_cell_length_a 6.319
_cell_length_b 10.542
_cell_length_c 10.542
_cell_angle_alpha 95.32
_cell_angle_beta 72.56
_cell_angle_gamma 72.56
loop_
_symmetry_equiv_pos_as_xyz
'x,y,z'
loop_
_atom_site_label
_atom_site_type_symbol
_atom_site_fract_x
_atom_site_fract_y
_atom_site_fract_z
_atom_site_occupancy
In1 In 0.866 0.280 0.987 1
In2 In 0.134 0.720 0.013 1
Ho1 Ho 0.609 0.661 0.122 1
Dy1 Dy 0.000 0.750 0.750 1
Dy2 Dy 0.873 0.463 0.791 1
Dy3 Dy 0.627 0.209 0.537 1
Dy4 Dy 0.250 0.500 0.500 1
In3 In 0.366 0.987 0.280 1
Ho2 Ho 0.250 0.000 0.000 1
Ho3 Ho 0.891 0.878 0.339 1
Dy5 Dy 0.500 0.750 0.750 1
Dy6 Dy 0.373 0.791 0.463 1
Dy7 Dy 0.127 0.537 0.209 1
Dy8 Dy 0.750 0.500 0.500 1
Ho4 Ho 0.750 0.000 0.000 1
In4 In 0.634 0.013 0.720 1
Ho5 Ho 0.391 0.339 0.878 1
Dy9 Dy 0.500 0.250 0.250 1
Dy10 Dy 0.000 0.250 0.250 1
Ho6 Ho 0.109 0.122 0.661 1
# - energy of formation from the pure elements (kJ/mol of atoms) = 11.12
# - spin magnetization (Bohr magnetons per cell) = 0.000
# - space-group type = No. 72

=====

(7)
# Dy12HoIn6 | Alexandria via LeMat-Bulk | PBE | relaxed
data_Dy12HoIn6
_symmetry_space_group_name_H-M 'P 1'
_symmetry_Int_Tables_number 1
_cell_length_a 8.168
_cell_length_b 8.168
_cell_length_c 8.168
_cell_angle_alpha 88.68
_cell_angle_beta 88.68
_cell_angle_gamma 88.68
loop_
_symmetry_equiv_pos_as_xyz
'x,y,z'
loop_
_atom_site_label
_atom_site_type_symbol
_atom_site_fract_x
_atom_site_fract_y
_atom_site_fract_z
_atom_site_occupancy
Dy1 Dy 0.616 0.923 0.874 1
Dy2 Dy 0.384 0.077 0.126 1
Dy3 Dy 0.806 0.527 0.437 1
Dy4 Dy 0.437 0.806 0.527 1
In1 In 0.744 0.278 0.124 1
Dy5 Dy 0.563 0.194 0.473 1
In2 In 0.256 0.722 0.876 1
Dy6 Dy 0.923 0.874 0.616 1
Ho1 Ho 0.000 0.000 0.000 1
Dy7 Dy 0.473 0.563 0.194 1
Dy8 Dy 0.126 0.384 0.077 1
Dy9 Dy 0.874 0.616 0.923 1
In3 In 0.876 0.256 0.722 1
Dy10 Dy 0.527 0.437 0.806 1
In4 In 0.278 0.124 0.744 1
In5 In 0.722 0.876 0.256 1
Dy11 Dy 0.077 0.126 0.384 1
Dy12 Dy 0.194 0.473 0.563 1
In6 In 0.124 0.744 0.278 1
# - energy of formation from the pure elements (kJ/mol of atoms) = -19.96
# - spin magnetization (Bohr magnetons per cell) = 0.000
# - space-group type = No. 148

=====

(8)
# Dy8HoIn6 | Alexandria via LeMat-Bulk | PBE | relaxed
data_Dy8HoIn6
_symmetry_space_group_name_H-M 'P 1'
_symmetry_Int_Tables_number 1
_cell_length_a 9.021
_cell_length_b 9.021
_cell_length_c 8.315
_cell_angle_alpha 57.15
_cell_angle_beta 57.15
_cell_angle_gamma 60.00
loop_
_symmetry_equiv_pos_as_xyz
'x,y,z'
loop_
_atom_site_label
_atom_site_type_symbol
_atom_site_fract_x
_atom_site_fract_y
_atom_site_fract_z
_atom_site_occupancy
In1 In 0.274 0.608 0.177 1
In2 In 0.392 0.059 0.823 1
In3 In 0.941 0.274 0.177 1
In4 In 0.059 0.726 0.823 1
Dy1 Dy 0.553 0.220 0.339 1
Dy2 Dy 0.334 0.334 0.999 1
Dy3 Dy 0.666 0.666 0.001 1
Dy4 Dy 0.887 0.553 0.339 1
In5 In 0.608 0.941 0.177 1
Dy5 Dy 0.113 0.447 0.661 1
Dy6 Dy 0.780 0.113 0.661 1
Dy7 Dy 0.220 0.887 0.339 1
In6 In 0.726 0.392 0.823 1
Ho1 Ho 0.000 0.000 0.000 1
Dy8 Dy 0.447 0.780 0.661 1
# - energy of formation from the pure elements (kJ/mol of atoms) = -20.49
# - spin magnetization (Bohr magnetons per cell) = 0.000
# - space-group type = No. 148

=====

What is the formula in the eighth record? Dy8HoIn6

=====

What is the energy of formation from the pure elements in the sixth record? 11.12 kJ/mol of atoms

=====

Look up the energy of formation from the pure elements of the seventh one. -19.96 kJ/mol of atoms